1.
Here is a geometry-optimized DyScW structure from OQMD via LeMat-Bulk. Energies are from GGA-PBE.

The space group is F-43m (No. 216) and the conventional cell measures 6.647, 6.647 and 6.647 Å, with angles of 90.00, 90.00 and 90.00 degrees. The distinct sites, in fractional coordinates, are Dy at (0.000, 0.000, 0.000), Sc at (0.250, 0.250, 0.750) and W at (0.250, 0.250, 0.250).

The value obtained for the relative energy among the computed polymorphs is 0.206 eV per atom. The energy of formation from the pure elements comes out at 1475 meV per atom. The energy comes out at -19.5 eV per formula unit. Its total magnetization is 1.16 μB/f.u.

2.
Here is a geometry-optimized Na2NbF structure from OQMD via LeMat-Bulk. Energies are from GGA-PBE.

The space group is P4/mmm (No. 123) and the conventional cell measures 3.967, 3.967 and 5.985 Å, with angles of 90.00, 90.00 and 90.00 degrees. The distinct sites, in fractional coordinates, are Na at (0.000, 0.000, 0.000), Na at (0.500, 0.500, 0.500), Nb at (0.000, 0.000, 0.500) and F at (0.500, 0.500, 0.000).

The energy comes out at -13.0 eV per formula unit. Its total magnetization is 4.57 μB/f.u.

3.
Here is a geometry-optimized TbSmNp structure from OQMD via LeMat-Bulk. Energies are from GGA-PBE.

The space group is F-43m (No. 216) and the conventional cell measures 7.415, 7.415 and 7.415 Å, with angles of 90.00, 90.00 and 90.00 degrees. The distinct sites, in fractional coordinates, are Tb at (0.000, 0.000, 0.000), Sm at (0.250, 0.250, 0.750) and Np at (0.000, 0.000, 0.500).

The energy of formation from the pure elements comes out at 1167 meV per atom. The energy comes out at -18.6 eV per formula unit. Its total magnetization is 5.55 μB/f.u.

4.
Here is a geometry-optimized LaMgAlPt structure from OQMD via LeMat-Bulk. Energies are from GGA-PBE.

The space group is Amm2 (No. 38) and the conventional cell measures 7.686, 4.390 and 10.435 Å, with angles of 90.00, 90.00 and 90.00 degrees. The distinct sites, in fractional coordinates, are La at (0.000, 0.000, 0.000), La at (0.500, 0.000, 0.125), Mg at (0.303, 0.000, 0.407), Al at (0.191, 0.000, 0.719), Pt at (0.000, 0.000, 0.273) and Pt at (0.500, 0.000, 0.833).

The value obtained for the relative energy among the computed polymorphs is 0.004 eV per atom. The energy comes out at -19.6 eV per formula unit. Its total magnetization is 0.00 μB/f.u.

5.
Here is a geometry-optimized NdTaPO structure from OQMD via LeMat-Bulk. Energies are from GGA-PBE.

The space group is P4/nmm (No. 129, origin choice 2) and the conventional cell measures 3.989, 3.989 and 9.065 Å, with angles of 90.00, 90.00 and 90.00 degrees. The distinct sites, in fractional coordinates, are Nd at (0.250, 0.250, 0.133), Ta at (0.250, 0.750, 0.500), P at (0.250, 0.250, 0.681) and O at (0.250, 0.750, 0.000).

The value obtained for the relative energy among the computed polymorphs is 0.000 eV per atom. The energy comes out at -34.5 eV per formula unit. Its total magnetization is 0.00 μB/f.u.

6.
Here is a geometry-optimized Sn2Os2O5 structure from OQMD via LeMat-Bulk. Energies are from GGA-PBE.

The space group is P4/mmm (No. 123) and the conventional cell measures 4.217, 4.217 and 6.533 Å, with angles of 90.00, 90.00 and 90.00 degrees. The distinct sites, in fractional coordinates, are Sn at (0.000, 0.000, 0.204), Os at (0.500, 0.500, 0.000), Os at (0.500, 0.500, 0.500), O at (0.000, 0.000, 0.500) and O at (0.000, 0.500, 0.216).

The value obtained for the relative energy among the computed polymorphs is 0.808 eV per atom. The energy comes out at -52.6 eV per formula unit. Its total magnetization is 2.03 μB/f.u.

7.
Here is a geometry-optimized BiIrNO structure from OQMD via LeMat-Bulk. Energies are from GGA-PBE.

The space group is Pmc2_1 (No. 26) and the conventional cell measures 3.494, 6.422 and 5.817 Å, with angles of 90.00, 90.00 and 90.00 degrees. The distinct sites, in fractional coordinates, are Bi at (0.000, 0.187, 0.000), Ir at (0.500, 0.220, 0.534), N at (0.000, 0.255, 0.417) and O at (0.500, 0.378, 0.849).

The value obtained for the relative energy among the computed polymorphs is 0.361 eV per atom. The energy comes out at -25.0 eV per formula unit. Its total magnetization is 0.00 μB/f.u.

8.
Here is a geometry-optimized Cu2Ag3 structure from OQMD via LeMat-Bulk. Energies are from GGA-PBE.

The space group is P2_1/m (No. 11) and the conventional cell measures 6.238, 3.949 and 6.343 Å, with angles of 90.00, 90.22 and 90.00 degrees. The distinct sites, in fractional coordinates, are Cu at (0.137, 0.250, 0.044), Cu at (0.237, 0.750, 0.766), Ag at (0.043, 0.750, 0.336), Ag at (0.349, 0.250, 0.446) and Ag at (0.457, 0.750, 0.145).

The value obtained for the relative energy among the computed polymorphs is 0.057 eV per atom. The energy of formation from the pure elements comes out at 89 meV per atom. The energy comes out at -15.5 eV per formula unit.

9.
Here is a geometry-optimized BaUPd structure from OQMD via LeMat-Bulk. Energies are from GGA-PBE.

The space group is F-43m (No. 216) and the conventional cell measures 7.324, 7.324 and 7.324 Å, with angles of 90.00, 90.00 and 90.00 degrees. The distinct sites, in fractional coordinates, are Ba at (0.000, 0.000, 0.000), U at (0.000, 0.000, 0.500) and Pd at (0.250, 0.250, 0.250).

The value obtained for the relative energy among the computed polymorphs is 0.000 eV per atom. The energy comes out at -16.8 eV per formula unit. Its total magnetization is 3.69 μB/f.u.

10.
Here is a geometry-optimized ZrScZn6 structure from OQMD via LeMat-Bulk. Energies are from GGA-PBE.

The space group is Amm2 (No. 38) and the conventional cell measures 4.325, 6.211 and 9.756 Å, with angles of 90.00, 90.00 and 90.00 degrees. The distinct sites, in fractional coordinates, are Zr at (0.000, 0.000, 0.000), Sc at (0.500, 0.000, 0.718), Zn at (0.000, 0.000, 0.530), Zn at (0.000, 0.216, 0.267), Zn at (0.500, 0.000, 0.186) and Zn at (0.500, 0.212, 0.450).

The energy of formation from the pure elements comes out at -295 meV per atom. The energy comes out at -24.8 eV per formula unit. Its total magnetization is 0.00 μB/f.u.

11.
Here is a geometry-optimized Zr6Zn16Cu7 structure from OQMD via LeMat-Bulk. Energies are from GGA-PBE.

The space group is Fm-3m (No. 225) and the conventional cell measures 12.097, 12.097 and 12.097 Å, with angles of 90.00, 90.00 and 90.00 degrees. The distinct sites, in fractional coordinates, are Zr at (0.000, 0.000, 0.194), Zn at (0.120, 0.120, 0.380), Zn at (0.167, 0.167, 0.167), Cu at (0.000, 0.000, 0.500) and Cu at (0.000, 0.250, 0.250).

The energy of formation from the pure elements comes out at -241 meV per atom. The energy comes out at -104.5 eV per formula unit. Its total magnetization is 0.02 μB/f.u.

12.
Here is a geometry-optimized DyThTa structure from OQMD via LeMat-Bulk. Energies are from GGA-PBE.

The space group is P-62m (No. 189) and the conventional cell measures 9.0650, 9.0650 and 3.2074 Å, with angles of 90.00, 90.00 and 120.00 degrees. The distinct sites, in fractional coordinates, are Dy at (0.0000, 0.0000, 0.0000), Dy at (0.3333, 0.6667, 0.5000), Th at (0.0000, 0.3232, 0.5000) and Ta at (0.0000, 0.6498, 0.0000).

The value obtained for the relative energy among the computed polymorphs is 0.000 eV per atom. The energy of formation from the pure elements comes out at 406 meV per atom. The energy comes out at -22.6 eV per formula unit. Its total magnetization is 0.00 μB/f.u.

13.
Here is a geometry-optimized ZrSi64 structure from OQMD via LeMat-Bulk. Energies are from GGA-PBE.

The space group is P-43m (No. 215) and the conventional cell measures 10.965, 10.965 and 10.965 Å, with angles of 90.00, 90.00 and 90.00 degrees. The distinct sites, in fractional coordinates, are Zr at (0.000, 0.000, 0.000), Si at (0.000, 0.000, 0.257), Si at (0.000, 0.250, 0.500), Si at (0.123, 0.376, 0.624), Si at (0.126, 0.126, 0.376), Si at (0.134, 0.134, 0.866), Si at (0.250, 0.250, 0.250), Si at (0.250, 0.500, 0.500), Si at (0.256, 0.256, 0.744) and Si at (0.375, 0.375, 0.375).

The energy comes out at -353.7 eV per formula unit. Its total magnetization is 2.00 μB/f.u.

14.
Here is a geometry-optimized SbPbAu structure from OQMD via LeMat-Bulk. Energies are from GGA-PBE.

The space group is P6_3mc (No. 186) and the conventional cell measures 4.6643, 4.6643 and 8.8145 Å, with angles of 90.00, 90.00 and 120.00 degrees. The distinct sites, in fractional coordinates, are Sb at (0.3333, 0.6667, 0.0000), Pb at (0.0000, 0.0000, 0.2499) and Au at (0.3333, 0.6667, 0.4214).

The value obtained for the relative energy among the computed polymorphs is 0.000 eV per atom. The energy comes out at -11.4 eV per formula unit.

15.
Here is a geometry-optimized BiMo4N3 structure from OQMD via LeMat-Bulk. Energies are from GGA-PBE.

The space group is P6_3/mmc (No. 194) and the conventional cell measures 3.2781, 3.2781 and 23.0719 Å, with angles of 90.00, 90.00 and 120.00 degrees. The distinct sites, in fractional coordinates, are Bi at (0.3333, 0.6667, 0.2500), Mo at (0.0000, 0.0000, 0.1395), Mo at (0.3333, 0.6667, 0.0542), N at (0.0000, 0.0000, 0.0000) and N at (0.3333, 0.6667, 0.6083).

The energy comes out at -71.6 eV per formula unit. Its total magnetization is 0.00 μB/f.u.

16.
Here is a geometry-optimized Zn4Co3 structure from OQMD via LeMat-Bulk. Energies are from GGA-PBE.

The space group is P6_3/m (No. 176) and the conventional cell measures 6.8879, 6.8879 and 4.1997 Å, with angles of 90.00, 90.00 and 120.00 degrees. The distinct sites, in fractional coordinates, are Zn at (0.0433, 0.2471, 0.2500), Zn at (0.3333, 0.6667, 0.2500) and Co at (0.1007, 0.4860, 0.7500).

The value obtained for the relative energy among the computed polymorphs is 0.000 eV per atom. The energy of formation from the pure elements comes out at 13 meV per atom. The energy comes out at -26.3 eV per formula unit. Its total magnetization is 3.57 μB/f.u.

17.
Here is a geometry-optimized Si2Ir2O5 structure from OQMD via LeMat-Bulk. Energies are from GGA-PBE.

The space group is P4/mmm (No. 123) and the conventional cell measures 3.382, 3.382 and 7.997 Å, with angles of 90.00, 90.00 and 90.00 degrees. The distinct sites, in fractional coordinates, are Si at (0.000, 0.000, 0.223), Ir at (0.500, 0.500, 0.000), Ir at (0.500, 0.500, 0.500), O at (0.000, 0.000, 0.000) and O at (0.000, 0.500, 0.294).

The value obtained for the relative energy among the computed polymorphs is 0.000 eV per atom. The energy comes out at -57.5 eV per formula unit. Its total magnetization is 2.46 μB/f.u.

18.
Here is a geometry-optimized Cs2Nb2Pt3 structure from OQMD via LeMat-Bulk. Energies are from GGA-PBE.

The space group is R3m (No. 160, hexagonal axes) and the conventional cell measures 4.6666, 4.6666 and 34.4780 Å, with angles of 90.00, 90.00 and 120.00 degrees. The distinct sites, in fractional coordinates, are Cs at (0.0000, 0.0000, 0.0000), Cs at (0.0000, 0.0000, 0.4259), Nb at (0.0000, 0.0000, 0.1914), Nb at (0.0000, 0.0000, 0.5843), Pt at (0.0000, 0.0000, 0.2643), Pt at (0.0000, 0.0000, 0.5127) and Pt at (0.0000, 0.0000, 0.8514).

The energy comes out at -40.0 eV per formula unit. Its total magnetization is 0.10 μB/f.u.

19.
Here is a geometry-optimized Sc2NbAs structure from OQMD via LeMat-Bulk. Energies are from GGA-PBE.

The space group is F-43m (No. 216) and the conventional cell measures 6.658, 6.658 and 6.658 Å, with angles of 90.00, 90.00 and 90.00 degrees. The distinct sites, in fractional coordinates, are Sc at (0.000, 0.000, 0.000), Sc at (0.250, 0.250, 0.250), Nb at (0.250, 0.250, 0.750) and As at (0.000, 0.000, 0.500).

The energy comes out at -27.9 eV per formula unit. Its total magnetization is 2.00 μB/f.u.

20.
Here is a geometry-optimized GaTc2Ir structure from OQMD via LeMat-Bulk. Energies are from GGA-PBE.

The space group is F-43m (No. 216) and the conventional cell measures 6.157, 6.157 and 6.157 Å, with angles of 90.00, 90.00 and 90.00 degrees. The distinct sites, in fractional coordinates, are Ga at (0.000, 0.000, 0.000), Tc at (0.000, 0.000, 0.500), Tc at (0.250, 0.250, 0.750) and Ir at (0.250, 0.250, 0.250).

The energy comes out at -32.6 eV per formula unit. Its total magnetization is 1.85 μB/f.u.